1.
The following is a DFT calculation (PBE) of a relaxed structure of PmPrTm2Se6.

```
PmPrTm2Se6
1.0
3.654 2.110 6.462
-3.654 2.110 6.462
0.000 -4.219 6.462
Pm Pr Tm Se
1 1 2 6
direct
0.000 0.000 0.000
0.503 0.503 0.503
0.301 0.301 0.301
0.800 0.800 0.800
0.081 0.686 0.417
0.179 0.581 0.924
0.417 0.081 0.686
0.581 0.924 0.179
0.686 0.417 0.081
0.924 0.179 0.581
```

=====

2.
The following is a DFT calculation (PBE) of a relaxed structure of Pm3Pr2TmSe6.

```
Pm3Pr2TmSe6
1.0
9.122 -2.085 0.000
9.122 2.085 0.000
-1.882 0.000 8.222
Pm Pr Tm Se
3 2 1 6
direct
0.000 0.000 0.000
0.327 0.327 0.665
0.673 0.673 0.335
0.331 0.331 0.163
0.669 0.669 0.837
0.000 0.000 0.500
0.159 0.159 0.576
0.164 0.164 0.087
0.497 0.497 0.736
0.503 0.503 0.264
0.836 0.836 0.913
0.841 0.841 0.424
```

=====

3.
The following is a DFT calculation (PBE) of a relaxed structure of Pm4PrTmSe8.

```
Pm4PrTmSe8
1.0
4.302 2.484 7.043
-4.302 2.484 7.043
0.000 -4.968 7.043
Pm Pr Tm Se
4 1 1 8
direct
0.000 0.000 0.000
0.376 0.376 0.869
0.376 0.869 0.376
0.869 0.376 0.376
0.376 0.376 0.376
0.749 0.749 0.749
0.130 0.130 0.601
0.130 0.601 0.130
0.133 0.133 0.133
0.133 0.624 0.624
0.601 0.130 0.130
0.621 0.621 0.621
0.624 0.133 0.624
0.624 0.624 0.133
```

=====

4.
The following is a DFT calculation (PBE) of a relaxed structure of Pm3PrTm2Se6.

```
Pm3PrTm2Se6
1.0
3.579 -6.224 0.000
3.579 6.224 0.000
-2.388 0.000 6.806
Pm Pr Tm Se
3 1 2 6
direct
0.000 0.000 0.000
0.343 0.657 0.000
0.657 0.343 0.000
0.500 0.500 0.500
0.166 0.834 0.500
0.834 0.166 0.500
0.071 0.420 0.257
0.230 0.230 0.735
0.420 0.071 0.257
0.580 0.929 0.743
0.770 0.770 0.265
0.929 0.580 0.743
```

=====

What are the M_tot values for these records? In order: 0.0 0.0 0.0 0.0 μB/f.u..
What are the E_form (uncorrected) values for these records? In order: -1837.7 -1806.9 -1724.2 -1781.6 meV per atom.